(1)
This record from Alexandria via LeMat-Bulk describes an optimized crystal structure of Al7Ag. The functional is PBE-GGA.

Results
* DOS(E_F): 0.311 states/eV/atom
* mass density: 3.68 g/cm³
* polymorph energy (0 for the lowest one): 0.09 eV/f.u.
* ΔH_f (0 K): -0.004 kcal/mol of atoms

Cell lengths 4.937, 5.713, 5.008 Å; angles 89.44, 99.75, 74.34 degrees
Positions (direct):
Al1 0.499 0.875 0.748
Al2 0.500 0.624 0.255
Al3 0.000 0.500 0.000
Al4 0.500 0.376 0.745
Al5 0.999 0.746 0.499
Al6 0.001 0.254 0.501
Ag1 0.000 0.000 0.000
Al7 0.501 0.125 0.252

***

(2)
This record from Alexandria via LeMat-Bulk describes an optimized crystal structure of NaDy2AgSe4. The functional is PBE-GGA.

Results
* DOS(E_F): 0.000 states/eV/atom
* mass density: 6.36 g/cm³
* formation energy from raw total energies: -1432 meV per atom

Cell lengths 4.147, 7.172, 7.206 Å; angles 109.91, 90.00, 90.00 degrees
Positions (direct):
Dy1 0.500 0.000 0.500
Ag1 0.000 0.000 0.000
Dy2 0.000 0.500 0.500
Se1 0.000 0.246 0.735
Se2 0.500 0.750 0.739
Se3 0.500 0.250 0.261
Se4 0.000 0.754 0.265
Na1 0.500 0.500 0.000

***

(3)
This record from Alexandria via LeMat-Bulk describes an optimized crystal structure of TlAs2Cl. The functional is PBE-GGA.

Results
* DOS(E_F): 0.302 states/eV/atom
* mass density: 4.74 g/cm³
* polymorph energy (0 for the lowest one): 1.11 eV/f.u.
* formation energy from raw total energies: -88 meV per atom

Cell lengths 4.115, 4.115, 16.394 Å; angles 82.79, 82.79, 90.00 degrees
Positions (direct):
As1 0.375 0.454 0.750
Cl1 0.500 0.500 0.000
As2 0.204 0.625 0.250
As3 0.546 0.125 0.250
Tl1 0.000 0.000 0.000
Tl2 0.750 0.250 0.500
Cl2 0.250 0.750 0.500
As4 0.875 0.796 0.750

***

(4)
This record from Alexandria via LeMat-Bulk describes an optimized crystal structure of Nd3HoTm5. The functional is PBE-GGA.

Results
* DOS(E_F): 1.315 states/eV/atom
* mass density: 7.36 g/cm³
* ΔH_f (0 K): 12.359 kcal/mol of atoms

Cell lengths 9.493, 9.493, 11.620 Å; angles 52.26, 52.26, 72.00 degrees
Positions (direct):
Ho1 0.853 0.853 0.395
Tm1 0.489 0.489 0.224
Tm2 0.656 0.157 0.755
Tm3 0.810 0.810 0.970
Tm4 0.190 0.190 0.030
Tm5 0.843 0.344 0.245
Nd1 0.341 0.341 0.631
Tm6 0.740 0.260 0.000
Ho2 0.147 0.147 0.605
Nd2 0.659 0.659 0.369
Nd3 0.000 0.000 0.500
Nd4 0.295 0.295 0.195
Nd5 0.000 0.000 0.000
Tm7 0.157 0.656 0.755
Tm8 0.260 0.740 0.000
Nd6 0.705 0.705 0.805
Tm9 0.344 0.843 0.245
Tm10 0.511 0.511 0.776

***

(5)
This record from Alexandria via LeMat-Bulk describes an optimized crystal structure of ReSi2F. The functional is PBE-GGA.

Results
* DOS(E_F): 1.318 states/eV/atom
* mass density: 8.06 g/cm³
* polymorph energy (0 for the lowest one): 0.00 eV/f.u.
* formation energy from raw total energies: 137 meV per atom

Cell lengths 4.239, 4.239, 4.239 Å; angles 60.00, 60.00, 60.00 degrees
Positions (direct):
F1 0.000 0.000 0.000
Re1 0.500 0.500 0.500
Si1 0.250 0.250 0.250
Si2 0.750 0.750 0.750

***

(6)
This record from Alexandria via LeMat-Bulk describes an optimized crystal structure of TcBr2O. The functional is PBE-GGA.

Results
* DOS(E_F): 0.611 states/eV/atom
* mass density: 5.51 g/cm³
* polymorph energy (0 for the lowest one): 5.16 eV/f.u.
* formation energy from raw total energies: 533 meV per atom

Cell lengths 7.255, 7.255, 7.255 Å; angles 29.61, 29.61, 29.61 degrees
Positions (direct):
Br1 0.098 0.098 0.098
Br2 0.902 0.902 0.902
O1 0.000 0.000 0.000
Tc1 0.500 0.500 0.500

***

(7)
This record from Alexandria via LeMat-Bulk describes an optimized crystal structure of AcMgIn. The functional is PBE-GGA.

Results
* DOS(E_F): 0.731 states/eV/atom
* mass density: 6.50 g/cm³
* polymorph energy (0 for the lowest one): 0.16 eV/f.u.
* ΔH_f (0 K): -7.654 kcal/mol of atoms

Cell lengths 4.025, 5.178, 5.178 Å; angles 120.00, 90.00, 90.00 degrees
Positions (direct):
Mg1 0.167 0.000 0.000
Ac1 0.667 0.667 0.333
In1 0.166 0.333 0.667

***

(8)
This record from Alexandria via LeMat-Bulk describes an optimized crystal structure of Fe3MoRh. The functional is PBE-GGA.

Results
* DOS(E_F): 1.272 states/eV/atom
* mass density: 7.25 g/cm³
* polymorph energy (0 for the lowest one): 0.00 eV/f.u.
* ΔH_f (0 K): 35.068 kcal/mol of atoms

Cell lengths 4.377, 4.377, 4.377 Å; angles 90.00, 90.00, 90.00 degrees
Positions (direct):
Fe1 0.500 0.000 0.000
Fe2 0.000 0.500 0.000
Mo1 0.000 0.000 0.000
Fe3 0.000 0.000 0.500
Rh1 0.500 0.500 0.500

***

(9)
This record from Alexandria via LeMat-Bulk describes an optimized crystal structure of PuNiAgPb. The functional is PBE-GGA.

Results
* DOS(E_F): 3.727 states/eV/atom
* mass density: 12.19 g/cm³
* ΔH_f (0 K): 2.000 kcal/mol of atoms

Cell lengths 4.918, 4.918, 4.918 Å; angles 60.00, 60.00, 60.00 degrees
Positions (direct):
Pb1 0.500 0.500 0.500
Ag1 0.250 0.250 0.250
Ni1 0.750 0.750 0.750
Pu1 0.000 0.000 0.000

***

(10)
This record from Alexandria via LeMat-Bulk describes an optimized crystal structure of SrTc2WN. The functional is PBE-GGA.

Results
* DOS(E_F): 1.281 states/eV/atom
* mass density: 8.10 g/cm³
* formation energy from raw total energies: 1169 meV per atom

Cell lengths 4.970, 3.996, 4.970 Å; angles 90.00, 90.00, 90.00 degrees
Positions (direct):
W1 0.000 0.000 0.000
Sr1 0.500 0.500 0.500
N1 0.000 0.500 0.000
Tc1 0.000 0.000 0.500
Tc2 0.500 0.000 0.000

***

(11)
This record from Alexandria via LeMat-Bulk describes an optimized crystal structure of Li3InHg4. The functional is PBE-GGA.

Results
* DOS(E_F): 0.358 states/eV/atom
* mass density: 9.60 g/cm³
* polymorph energy (0 for the lowest one): 0.02 eV/f.u.
* ΔH_f (0 K): -6.504 kcal/mol of atoms

Cell lengths 4.734, 4.746, 10.415 Å; angles 133.13, 103.14, 90.00 degrees
Positions (direct):
Hg1 0.863 0.585 0.726
Hg2 0.137 0.415 0.274
Li1 0.000 0.500 0.000
Li2 0.250 0.253 0.501
Hg3 0.364 0.091 0.728
Li3 0.750 0.747 0.499
In1 0.500 0.000 0.000
Hg4 0.636 0.909 0.272

***

(12)
This record from Alexandria via LeMat-Bulk describes an optimized crystal structure of LaPb3. The functional is PBE-GGA.

Results
* DOS(E_F): 0.769 states/eV/atom
* mass density: 10.10 g/cm³
* ΔH_f (0 K): -7.476 kcal/mol of atoms

Cell lengths 6.706, 6.706, 6.706 Å; angles 148.20, 127.41, 62.79 degrees
Positions (direct):
La1 0.004 0.000 0.004
Pb1 0.905 0.246 0.659
Pb2 0.511 0.500 0.011
Pb3 0.413 0.754 0.659

***

Asked for E_tot across the records above, the calculation gives -3.63; -4.85; -3.47; -4.05; -6.15; -4.13; -3.15; -7.19; -6.58; -7.57; -1.49; -4.34 eV/atom in order.